VASP calculation (GGA-PBE) on crystalline InFe2Pd at its relaxed geometry.

Cell and atoms, written as POSCAR:
```
InFe2Pd
1.0
7.1372 0.0000 0.0000
0.0000 7.1372 0.0000
3.5686 3.5686 2.6307
Fe Pd In
4 2 2
Cartesian
5.2134 1.7843 0.6577
1.9238 5.3529 0.6577
5.3529 5.4923 1.9730
8.9215 8.7820 1.9730
3.5686 3.5686 0.0000
3.5686 7.1372 1.3154
0.0000 0.0000 0.0000
7.1372 3.5686 1.3154
```

Energy (eV per atom): -5.82
Energy of formation (eV/f.u.): 1.6
Symmetry: No. 122